An optimized crystal structure of BeInAs2. Source: Alexandria, functional GGA-PBE.

```
BeInAs2
1.0
3.2551 0.0000 0.0000
0.0000 3.2551 0.0000
0.0000 0.0000 7.5018
Be In As
1 1 2
Direct
0.0000 0.0000 0.0000
0.0000 0.0000 0.5000
0.5000 0.5000 0.1627
0.5000 0.5000 0.8373
```

Calculated values
electronic total energy: -3.680 eV per atom
magnetization: 0.0000 μB/atom
V: 19.87 A^3/atom

An optimized crystal structure of TaSb2P. Source: Alexandria, functional GGA-PBE.

```
TaSb2P
1.0
3.2989 0.0000 0.0000
0.0000 3.2989 0.0000
0.0000 0.0000 8.1044
Ta Sb P
1 2 1
Direct
0.0000 0.0000 0.0000
0.0000 0.0000 0.3715
0.5000 0.5000 0.7551
0.5000 0.5000 0.1300
```

Calculated values
electronic total energy: -6.525 eV per atom
magnetization: 0.0000 μB/atom
V: 22.05 A^3/atom

An optimized crystal structure of Cd2TeOs. Source: Alexandria, functional GGA-PBE.

```
Cd2TeOs
1.0
1.7098 0.9872 9.1098
-1.7098 0.9872 9.1098
0.0000 -1.9743 9.1098
Cd Te Os
2 1 1
Direct
0.0000 0.0000 0.0000
0.2444 0.2444 0.2444
0.4706 0.4706 0.4706
0.7429 0.7429 0.7429
```

Calculated values
electronic total energy: -3.658 eV per atom
magnetization: 0.0000 μB/atom
V: 23.06 A^3/atom

An optimized crystal structure of Pm3Cd7Pb2. Source: Alexandria, functional GGA-PBE.

```
Pm3Cd7Pb2
1.0
3.0477 1.7596 9.8382
-3.0477 1.7596 9.8382
0.0000 -3.5191 9.8382
Pm Cd Pb
3 7 2
Direct
0.0000 0.0000 0.0000
0.1423 0.1423 0.1423
0.8577 0.8577 0.8577
0.0800 0.5938 0.5938
0.4062 0.4062 0.9200
0.4062 0.9200 0.4062
0.5000 0.5000 0.5000
0.5938 0.0800 0.5938
0.5938 0.5938 0.0800
0.9200 0.4062 0.4062
0.3357 0.3357 0.3357
0.6643 0.6643 0.6643
```

Calculated values
electronic total energy: -2.549 eV per atom
magnetization: 0.0209 μB/atom
V: 26.38 A^3/atom

An optimized crystal structure of PrHo3Mg6. Source: Alexandria, functional GGA-PBE.

```
PrHo3Mg6
1.0
9.2782 0.0000 0.0000
0.0000 5.3027 0.0000
-3.1541 0.0000 10.8709
Pr Ho Mg
2 6 12
Direct
0.0544 0.2500 0.3940
0.9456 0.7500 0.6060
0.2500 0.2500 0.9981
0.3523 0.7500 0.7992
0.4567 0.2500 0.6043
0.5433 0.7500 0.3957
0.6477 0.2500 0.2008
0.7500 0.7500 0.0019
0.0505 0.7500 0.9062
0.1477 0.7500 0.1962
0.1498 0.2500 0.7039
0.2522 0.7500 0.4957
0.3470 0.2500 0.2938
0.4440 0.7500 0.1006
0.5560 0.2500 0.8994
0.6530 0.7500 0.7062
0.7478 0.2500 0.5043
0.8502 0.7500 0.2961
0.8523 0.2500 0.8038
0.9495 0.2500 0.0938
```

Calculated values
electronic total energy: -2.874 eV per atom
magnetization: 0.0000 μB/atom
V: 26.74 A^3/atom

An optimized crystal structure of InTe2SeI. Source: Alexandria, functional GGA-PBE.

```
InTe2SeI
1.0
5.5749 0.0000 0.0000
0.0000 5.5749 0.0000
0.0000 0.0000 5.8284
In Te Se I
1 2 1 1
Direct
0.0000 0.0000 0.0000
0.0000 0.5000 0.5000
0.5000 0.0000 0.5000
0.5000 0.5000 0.5000
0.5000 0.5000 0.0000
```

Calculated values
electronic total energy: -2.615 eV per atom
magnetization: 0.0000 μB/atom
V: 36.23 A^3/atom

An optimized crystal structure of RbGe2Cl. Source: Alexandria, functional GGA-PBE.

```
RbGe2Cl
1.0
0.0000 3.8306 3.8306
3.8306 0.0000 3.8306
3.8306 3.8306 0.0000
Rb Ge Cl
1 2 1
Direct
0.0000 0.0000 0.0000
0.2500 0.2500 0.2500
0.7500 0.7500 0.7500
0.5000 0.5000 0.5000
```

Calculated values
electronic total energy: -2.492 eV per atom
magnetization: 0.0000 μB/atom
V: 28.11 A^3/atom

An optimized crystal structure of LaDy2HoTh. Source: Alexandria, functional GGA-PBE.

```
LaDy2HoTh
1.0
8.6389 0.0000 0.0000
0.0000 6.4319 0.0000
-1.1560 0.0000 6.2585
La Dy Ho Th
2 4 2 2
Direct
0.0000 0.0000 0.0000
0.0000 0.0000 0.5000
0.3164 0.3219 0.1940
0.3164 0.6781 0.6940
0.6836 0.3219 0.3060
0.6836 0.6781 0.8060
0.5000 0.1698 0.7500
0.5000 0.8302 0.2500
0.0000 0.4535 0.7500
0.0000 0.5465 0.2500
```

Calculated values
electronic total energy: -4.901 eV per atom
magnetization: 0.0000 μB/atom
V: 34.78 A^3/atom

An optimized crystal structure of TlGeSN2. Source: Alexandria, functional GGA-PBE.

```
TlGeSN2
1.0
3.7918 0.0000 0.0000
0.0000 3.7918 0.0000
0.0000 0.0000 5.6206
Tl Ge S N
1 1 1 2
Direct
0.0000 0.0000 0.0000
0.5000 0.5000 0.5000
0.5000 0.5000 0.0000
0.0000 0.5000 0.5000
0.5000 0.0000 0.5000
```

Calculated values
electronic total energy: -4.547 eV per atom
magnetization: 0.0598 μB/atom
V: 16.16 A^3/atom

An optimized crystal structure of RbIn7Ag12. Source: Alexandria, functional GGA-PBE.

```
RbIn7Ag12
1.0
7.2381 4.1789 2.4776
-7.2381 4.1789 2.4776
0.0000 -8.3578 2.4776
Rb In Ag
1 7 12
Direct
0.0000 0.0000 0.0000
0.2040 0.2040 0.5511
0.2040 0.5511 0.2040
0.4489 0.7960 0.7960
0.5000 0.5000 0.5000
0.5511 0.2040 0.2040
0.7960 0.4489 0.7960
0.7960 0.7960 0.4489
0.0000 0.2710 0.7290
0.0000 0.7290 0.2710
0.0465 0.3882 0.3882
0.2710 0.0000 0.7290
0.2710 0.7290 0.0000
0.3882 0.0465 0.3882
0.3882 0.3882 0.0465
0.6118 0.6118 0.9535
0.6118 0.9535 0.6118
0.7290 0.0000 0.2710
0.7290 0.2710 0.0000
0.9535 0.6118 0.6118
```

Calculated values
electronic total energy: -2.663 eV per atom
magnetization: 0.0000 μB/atom
V: 22.48 A^3/atom

An optimized crystal structure of TcSnIr. Source: Alexandria, functional GGA-PBE.

```
TcSnIr
1.0
13.1666 0.0000 0.0000
0.0000 1.4838 2.5715
0.0000 -1.4838 2.5715
Tc Sn Ir
2 2 2
Direct
0.0000 0.0000 0.0000
0.5000 0.0019 0.0019
0.3326 0.6686 0.6686
0.6674 0.6686 0.6686
0.1556 0.3332 0.3332
0.8444 0.3332 0.3332
```

Calculated values
electronic total energy: -7.509 eV per atom
magnetization: 0.0003 μB/atom
V: 16.75 A^3/atom

An optimized crystal structure of LiZrIn. Source: Alexandria, functional GGA-PBE.

```
LiZrIn
1.0
2.3684 -4.0941 0.0000
2.3684 4.0941 0.0000
0.0000 0.0000 6.0102
Li Zr In
2 2 2
Direct
0.1672 0.8328 0.7500
0.8328 0.1672 0.2500
0.1664 0.8336 0.2500
0.8336 0.1664 0.7500
0.5000 0.5000 0.0000
0.5000 0.5000 0.5000
```

Calculated values
electronic total energy: -4.487 eV per atom
magnetization: 0.0000 μB/atom
V: 19.43 A^3/atom

An optimized crystal structure of TlTcP2. Source: Alexandria, functional GGA-PBE.

```
TlTcP2
1.0
1.5620 0.9018 9.0728
-1.5620 0.9018 9.0728
0.0000 -1.8036 9.0728
Tl Tc P
1 1 2
Direct
0.0000 0.0000 0.0000
0.5000 0.5000 0.5000
0.2272 0.2272 0.2272
0.7728 0.7728 0.7728
```

Calculated values
electronic total energy: -5.949 eV per atom
magnetization: 0.0000 μB/atom
V: 19.17 A^3/atom

An optimized crystal structure of ZrSb2Br. Source: Alexandria, functional GGA-PBE.

```
ZrSb2Br
1.0
3.6110 0.0000 0.0000
0.0000 3.6110 0.0000
0.0000 0.0000 8.4255
Zr Sb Br
1 2 1
Direct
0.0000 0.0000 0.0000
0.0000 0.0000 0.6130
0.5000 0.5000 0.8203
0.5000 0.5000 0.2111
```

Calculated values
electronic total energy: -5.047 eV per atom
magnetization: 0.0000 μB/atom
V: 27.47 A^3/atom

An optimized crystal structure of CaLa2Cu. Source: Alexandria, functional GGA-PBE.

```
CaLa2Cu
1.0
1.9203 1.1087 10.5143
-1.9203 1.1087 10.5143
0.0000 -2.2174 10.5143
Ca La Cu
1 2 1
Direct
0.0000 0.0000 0.0000
0.2302 0.2302 0.2302
0.7698 0.7698 0.7698
0.5000 0.5000 0.5000
```

Calculated values
electronic total energy: -3.934 eV per atom
magnetization: 0.0000 μB/atom
V: 33.58 A^3/atom

An optimized crystal structure of BeAsPt. Source: Alexandria, functional GGA-PBE.

```
BeAsPt
1.0
2.9457 0.0000 0.0000
-1.4728 2.5510 0.0000
0.0000 0.0000 5.7226
Be As Pt
1 1 1
Direct
0.0000 0.0000 0.0000
0.6667 0.3333 0.6654
0.3333 0.6667 0.2799
```

Calculated values
electronic total energy: -4.882 eV per atom
magnetization: 0.0000 μB/atom
V: 14.33 A^3/atom

An optimized crystal structure of Ti3Mo6W2. Source: Alexandria, functional GGA-PBE.

```
Ti3Mo6W2
1.0
4.7833 0.0000 0.0000
0.0000 10.3299 0.0000
0.0000 0.0000 7.7545
Ti Mo W
6 12 4
Direct
0.0000 0.0000 0.0000
0.0000 0.5000 0.2989
0.0000 0.5000 0.7011
0.5000 0.0000 0.2011
0.5000 0.0000 0.7989
0.5000 0.5000 0.5000
0.2243 0.3049 0.5000
0.2495 0.2966 0.1659
0.2495 0.2966 0.8341
0.2505 0.7966 0.3341
0.2505 0.7966 0.6659
0.2757 0.8049 0.0000
0.7243 0.1951 0.0000
0.7495 0.2034 0.3341
0.7495 0.2034 0.6659
0.7505 0.7034 0.1659
0.7505 0.7034 0.8341
0.7757 0.6951 0.5000
0.2388 0.0605 0.5000
0.2612 0.5605 0.0000
0.7388 0.4395 0.0000
0.7612 0.9395 0.5000
```

Calculated values
electronic total energy: -9.858 eV per atom
magnetization: 0.0000 μB/atom
V: 17.42 A^3/atom

An optimized crystal structure of BaGeTe2I. Source: Alexandria, functional GGA-PBE.

```
BaGeTe2I
1.0
6.6819 0.0000 0.0000
0.0000 6.6819 0.0000
0.0000 0.0000 6.4836
Ba Ge Te I
1 1 2 1
Direct
0.0000 0.0000 0.0000
0.5000 0.5000 0.5000
0.0000 0.5000 0.0000
0.5000 0.0000 0.0000
0.0000 0.0000 0.5000
```

Calculated values
electronic total energy: -2.581 eV per atom
magnetization: 0.2061 μB/atom
V: 57.89 A^3/atom

An optimized crystal structure of KOs2. Source: Alexandria, functional GGA-PBE.

```
KOs2
1.0
5.1338 -1.3696 0.0000
5.1338 1.3696 0.0000
-2.6563 0.0000 9.1050
K Os
2 4
Direct
0.1580 0.1580 0.1272
0.8420 0.8420 0.8728
0.1382 0.1382 0.5058
0.4579 0.4579 0.3116
0.5421 0.5421 0.6884
0.8618 0.8618 0.4942
```

Calculated values
electronic total energy: -6.948 eV per atom
magnetization: 0.0000 μB/atom
V: 21.34 A^3/atom

An optimized crystal structure of CsRbTl2Ni. Source: Alexandria, functional GGA-PBE.

```
CsRbTl2Ni
1.0
5.2836 0.0000 0.0000
0.0000 5.2836 0.0000
0.0000 0.0000 6.3812
Cs Rb Tl Ni
1 1 2 1
Direct
0.0000 0.0000 0.0000
0.5000 0.5000 0.0000
0.0000 0.5000 0.5000
0.5000 0.0000 0.5000
0.5000 0.5000 0.5000
```

Calculated values
electronic total energy: -2.325 eV per atom
magnetization: 0.0000 μB/atom
V: 35.63 A^3/atom